[1]
## SrTaPd2I (meta-GGA SCAN)

Data for a PBEsol-optimized structure of SrTaPd2I.

Values from the calculation:
The size of the total moment is 0.00 μB per atom. Its energy relative to the elements, uncorrected is 109 meV/atom. As for the total energy: -38.121 eV/atom.

a = 4.961 Å, b = 4.961 Å, c = 5.290 Å
α = 90.00°, β = 90.00°, γ = 90.00°
Positions (direct):
Sr 0.000 0.000 0.000
Ta 0.500 0.500 0.500
Pd 0.000 0.500 0.500
Pd 0.500 0.000 0.500
I 0.500 0.500 0.000


[2]
## CaTeS2O (meta-GGA SCAN)

Data for a PBEsol-optimized structure of CaTeS2O.

Values from the calculation:
The size of the total moment is 0.03 μB per atom. Its energy relative to the elements, uncorrected is 648 meV/atom. As for the total energy: -13.832 eV/atom.

a = 5.092 Å, b = 5.092 Å, c = 5.912 Å
α = 90.00°, β = 90.00°, γ = 90.00°
Positions (direct):
Ca 0.000 0.000 0.000
Te 0.000 0.000 0.500
S 0.000 0.500 0.000
S 0.500 0.000 0.000
O 0.500 0.500 0.500


[3]
## Be3AlCo (meta-GGA SCAN)

Data for a PBEsol-optimized structure of Be3AlCo.

Values from the calculation:
The size of the total moment is 0.39 μB per atom. Its energy of formation is 7.0 eV/f.u. As for the total energy: -6.215 eV/atom.

a = 4.126 Å, b = 4.126 Å, c = 4.126 Å
α = 90.00°, β = 90.00°, γ = 90.00°
Positions (direct):
Be 0.000 0.000 0.500
Be 0.000 0.500 0.000
Be 0.500 0.000 0.000
Al 0.000 0.000 0.000
Co 0.500 0.500 0.500


[4]
## LaBe2Se (meta-GGA SCAN)

Data for a PBEsol-optimized structure of LaBe2Se.

Values from the calculation:
The size of the total moment is 0.00 μB per atom. Its energy relative to the elements, uncorrected is 46 meV/atom. As for the total energy: -17.927 eV/atom.

a = 5.944 Å, b = 5.928 Å, c = 4.031 Å
α = 70.36°, β = 69.94°, γ = 39.70°
Positions (direct):
La 0.000 0.000 0.000
Be 0.000 0.500 0.500
Be 0.500 0.000 0.000
Se 0.500 0.500 0.500


[5]
## Mg11Mn2O13 (meta-GGA SCAN)

Data for a PBEsol-optimized structure of Mg11Mn2O13.

Values from the calculation:
The size of the total moment is 0.38 μB per atom. Its energy relative to the elements, uncorrected is -2836 meV/atom. As for the total energy: -9.460 eV/atom.

a = 19.755 Å, b = 19.755 Å, c = 19.755 Å
α = 171.27°, β = 167.65°, γ = 15.14°
Positions (direct):
Mg 0.000 0.000 0.000
Mg 0.076 0.076 0.000
Mg 0.231 0.231 0.000
Mg 0.307 0.307 0.000
Mg 0.386 0.386 0.000
Mg 0.462 0.462 0.000
Mg 0.538 0.538 0.000
Mg 0.614 0.614 0.000
Mg 0.693 0.693 0.000
Mg 0.769 0.769 0.000
Mg 0.924 0.924 0.000
Mn 0.154 0.154 0.000
Mn 0.846 0.846 0.000
O 0.038 0.538 0.500
O 0.113 0.613 0.500
O 0.194 0.694 0.500
O 0.269 0.769 0.500
O 0.347 0.847 0.500
O 0.424 0.924 0.500
O 0.500 0.000 0.500
O 0.576 0.076 0.500
O 0.653 0.153 0.500
O 0.731 0.231 0.500
O 0.806 0.306 0.500
O 0.887 0.387 0.500
O 0.962 0.462 0.500


[6]
## Mg2AgAs (meta-GGA SCAN)

Data for a PBEsol-optimized structure of Mg2AgAs.

Values from the calculation:
The size of the total moment is 0.00 μB per atom. Its energy of formation is -0.9 eV/f.u. As for the total energy: -15.609 eV/atom.

a = 5.446 Å, b = 5.446 Å, c = 5.446 Å
α = 137.01°, β = 136.97°, γ = 62.45°
Positions (direct):
Mg 0.000 0.000 0.000
Mg 0.750 0.250 0.500
Ag 0.250 0.750 0.500
As 0.500 0.500 0.000


[7]
## Tm2Fe17H3 (meta-GGA SCAN)

Data for a PBEsol-optimized structure of Tm2Fe17H3.

Values from the calculation:
The size of the total moment is 1.82 μB per atom. As for the total energy: -19.229 eV/atom.

a = 8.255 Å, b = 8.255 Å, c = 7.958 Å
α = 90.00°, β = 90.00°, γ = 120.00°
Positions (direct):
Tm 0.000 0.000 0.250
Tm 0.000 0.000 0.750
Tm 0.333 0.667 0.250
Tm 0.667 0.333 0.750
Fe 0.000 0.500 0.000
Fe 0.000 0.500 0.500
Fe 0.050 0.378 0.750
Fe 0.050 0.672 0.750
Fe 0.166 0.333 0.015
Fe 0.166 0.333 0.485
Fe 0.166 0.834 0.015
Fe 0.166 0.834 0.485
Fe 0.328 0.378 0.750
Fe 0.328 0.950 0.750
Fe 0.333 0.166 0.515
Fe 0.333 0.166 0.985
Fe 0.333 0.667 0.606
Fe 0.333 0.667 0.894
Fe 0.378 0.050 0.250
Fe 0.378 0.328 0.250
Fe 0.500 0.000 0.000
Fe 0.500 0.000 0.500
Fe 0.500 0.500 0.000
Fe 0.500 0.500 0.500
Fe 0.622 0.672 0.750
Fe 0.622 0.950 0.750
Fe 0.667 0.333 0.106
Fe 0.667 0.333 0.394
Fe 0.667 0.834 0.015
Fe 0.667 0.834 0.485
Fe 0.672 0.050 0.250
Fe 0.672 0.622 0.250
Fe 0.834 0.166 0.515
Fe 0.834 0.166 0.985
Fe 0.834 0.667 0.515
Fe 0.834 0.667 0.985
Fe 0.950 0.328 0.250
Fe 0.950 0.622 0.250
H 0.165 0.330 0.250
H 0.165 0.835 0.250
H 0.330 0.165 0.750
H 0.670 0.835 0.250
H 0.835 0.165 0.750
H 0.835 0.670 0.750


[8]
## K2RbRuF6 (meta-GGA SCAN)

Data for a PBEsol-optimized structure of K2RbRuF6.

Values from the calculation:
The size of the total moment is 0.10 μB per atom. Its energy relative to the elements, uncorrected is -2477 meV/atom. As for the total energy: -11.823 eV/atom.

a = 6.414 Å, b = 6.414 Å, c = 6.414 Å
α = 60.00°, β = 60.00°, γ = 60.00°
Positions (direct):
K 0.250 0.250 0.250
K 0.750 0.750 0.750
Rb 0.000 0.000 0.000
Ru 0.500 0.500 0.500
F 0.281 0.281 0.719
F 0.281 0.719 0.281
F 0.281 0.719 0.719
F 0.719 0.281 0.281
F 0.719 0.281 0.719
F 0.719 0.719 0.281


[9]
## InNiAs2 (meta-GGA SCAN)

Data for a PBEsol-optimized structure of InNiAs2.

Values from the calculation:
The size of the total moment is 0.00 μB per atom. Its energy of formation is 1.3 eV/f.u. As for the total energy: -22.168 eV/atom.

a = 4.506 Å, b = 4.506 Å, c = 3.635 Å
α = 90.00°, β = 90.00°, γ = 107.14°
Positions (direct):
In 0.000 0.000 0.000
Ni 0.500 0.500 0.000
As 0.000 0.500 0.500
As 0.500 0.000 0.500


[10]
## Li6Ti2O7 (meta-GGA SCAN)

Data for a PBEsol-optimized structure of Li6Ti2O7.

Values from the calculation:
The size of the total moment is 0.00 μB per atom. Its energy relative to the elements, uncorrected is -2678 meV/atom. As for the total energy: -8.679 eV/atom. The value obtained for the polymorph energy (0 for the lowest one) is 47.9 meV/atom.

a = 3.957 Å, b = 16.484 Å, c = 8.868 Å
α = 90.00°, β = 90.00°, γ = 90.00°
Positions (direct):
Li 0.000 0.064 0.034
Li 0.000 0.186 0.208
Li 0.000 0.320 0.035
Li 0.000 0.325 0.500
Li 0.000 0.425 0.743
Li 0.000 0.430 0.208
Li 0.000 0.564 0.035
Li 0.000 0.686 0.208
Li 0.000 0.820 0.035
Li 0.000 0.825 0.500
Li 0.000 0.925 0.742
Li 0.000 0.930 0.207
Li 0.500 0.070 0.707
Li 0.500 0.075 0.242
Li 0.500 0.175 0.000
Li 0.500 0.180 0.535
Li 0.500 0.314 0.708
Li 0.500 0.436 0.535
Li 0.500 0.570 0.708
Li 0.500 0.575 0.243
Li 0.500 0.675 0.000
Li 0.500 0.680 0.535
Li 0.500 0.814 0.708
Li 0.500 0.936 0.534
Ti 0.000 0.046 0.459
Ti 0.000 0.204 0.783
Ti 0.000 0.546 0.460
Ti 0.000 0.704 0.783
Ti 0.500 0.296 0.283
Ti 0.500 0.454 0.960
Ti 0.500 0.796 0.283
Ti 0.500 0.954 0.959
O 0.000 0.054 0.254
O 0.000 0.125 0.621
O 0.000 0.196 0.989
O 0.000 0.307 0.270
O 0.000 0.309 0.735
O 0.000 0.441 0.507
O 0.000 0.443 0.972
O 0.000 0.554 0.254
O 0.000 0.625 0.622
O 0.000 0.696 0.989
O 0.000 0.807 0.270
O 0.000 0.809 0.735
O 0.000 0.941 0.507
O 0.000 0.943 0.972
O 0.500 0.057 0.472
O 0.500 0.059 0.007
O 0.500 0.191 0.235
O 0.500 0.193 0.770
O 0.500 0.304 0.489
O 0.500 0.375 0.122
O 0.500 0.446 0.754
O 0.500 0.557 0.472
O 0.500 0.559 0.007
O 0.500 0.691 0.235
O 0.500 0.693 0.770
O 0.500 0.804 0.489
O 0.500 0.875 0.121
O 0.500 0.946 0.754


[11]
## K4Tl (meta-GGA SCAN)

Data for a PBEsol-optimized structure of K4Tl.

Values from the calculation:
The size of the total moment is 0.00 μB per atom. Its energy of formation is -0.1 eV/f.u. As for the total energy: -21.148 eV/atom.

a = 7.255 Å, b = 7.255 Å, c = 7.255 Å
α = 109.47°, β = 109.47°, γ = 109.47°
Positions (direct):
K 0.000 0.000 0.500
K 0.000 0.500 0.000
K 0.500 0.000 0.000
K 0.500 0.500 0.500
Tl 0.000 0.000 0.000


[12]
## Ba2MnHg (meta-GGA SCAN)

Data for a PBEsol-optimized structure of Ba2MnHg.

Values from the calculation:
The size of the total moment is 0.79 μB per atom. Its energy of formation is 0.3 eV/f.u. As for the total energy: -41.311 eV/atom. The value obtained for the polymorph energy (0 for the lowest one) is 275.6 meV/atom.

a = 9.699 Å, b = 9.699 Å, c = 9.699 Å
α = 25.13°, β = 25.13°, γ = 25.13°
Positions (direct):
Ba 0.246 0.246 0.246
Ba 0.754 0.754 0.754
Mn 0.500 0.500 0.500
Hg 0.000 0.000 0.000


[13]
## Sr2MnCuOs (meta-GGA SCAN)

Data for a PBEsol-optimized structure of Sr2MnCuOs.

Values from the calculation:
The size of the total moment is 1.07 μB per atom. Its energy of formation is 6.6 eV/f.u. As for the total energy: -28.656 eV/atom.

a = 5.510 Å, b = 5.510 Å, c = 4.338 Å
α = 90.00°, β = 90.00°, γ = 90.00°
Positions (direct):
Sr 0.000 0.500 0.000
Sr 0.500 0.000 0.000
Mn 0.000 0.000 0.000
Cu 0.000 0.000 0.500
Os 0.500 0.500 0.500


[14]
## MnMoAsRh2 (meta-GGA SCAN)

Data for a PBEsol-optimized structure of MnMoAsRh2.

Values from the calculation:
The size of the total moment is 1.54 μB per atom. Its energy of formation is 3.8 eV/f.u. As for the total energy: -27.409 eV/atom.

a = 4.435 Å, b = 4.435 Å, c = 4.323 Å
α = 90.00°, β = 90.00°, γ = 90.00°
Positions (direct):
Mn 0.000 0.000 0.000
Mo 0.500 0.500 0.000
As 0.000 0.000 0.500
Rh 0.000 0.500 0.500
Rh 0.500 0.000 0.500


[15]
## OsPdCl2 (meta-GGA SCAN)

Data for a PBEsol-optimized structure of OsPdCl2.

Values from the calculation:
The size of the total moment is 0.00 μB per atom. Its energy relative to the elements, uncorrected is 459 meV/atom. As for the total energy: -29.694 eV/atom. The value obtained for the polymorph energy (0 for the lowest one) is 0.0 meV/atom.

a = 8.823 Å, b = 8.823 Å, c = 8.823 Å
α = 18.94°, β = 18.94°, γ = 18.94°
Positions (direct):
Os 0.000 0.000 0.000
Pd 0.500 0.500 0.500
Cl 0.085 0.085 0.085
Cl 0.915 0.915 0.915


[16]
## MgScPd2O (meta-GGA SCAN)

Data for a PBEsol-optimized structure of MgScPd2O.

Values from the calculation:
The size of the total moment is 0.00 μB per atom. Its energy relative to the elements, uncorrected is -788 meV/atom. As for the total energy: -18.986 eV/atom.

a = 4.521 Å, b = 4.521 Å, c = 3.758 Å
α = 90.00°, β = 90.00°, γ = 90.00°
Positions (direct):
Mg 0.000 0.000 0.000
Sc 0.500 0.500 0.000
Pd 0.000 0.500 0.500
Pd 0.500 0.000 0.500
O 0.000 0.000 0.500


[17]
## CsZn2ReAu (meta-GGA SCAN)

Data for a PBEsol-optimized structure of CsZn2ReAu.

Values from the calculation:
The size of the total moment is 1.00 μB per atom. Its energy of formation is 12.2 eV/f.u. As for the total energy: -38.585 eV/atom.

a = 6.354 Å, b = 6.354 Å, c = 6.777 Å
α = 90.00°, β = 90.00°, γ = 90.00°
Positions (direct):
Cs 0.000 0.000 0.000
Zn 0.000 0.500 0.000
Zn 0.500 0.000 0.000
Re 0.000 0.000 0.500
Au 0.500 0.500 0.500


[18]
## TlCuO2 (meta-GGA SCAN)

Data for a PBEsol-optimized structure of TlCuO2.

Values from the calculation:
The size of the total moment is 0.00 μB per atom. Its energy relative to the elements, uncorrected is -695 meV/atom. As for the total energy: -25.700 eV/atom. The value obtained for the polymorph energy (0 for the lowest one) is 0.0 meV/atom.

a = 5.308 Å, b = 5.413 Å, c = 5.488 Å
α = 90.00°, β = 115.94°, γ = 90.00°
Positions (direct):
Tl 0.168 0.250 0.351
Tl 0.832 0.750 0.649
Cu 0.493 0.250 0.006
Cu 0.507 0.750 0.994
O 0.284 0.000 0.785
O 0.284 0.500 0.785
O 0.716 0.000 0.215
O 0.716 0.500 0.215


[19]
## LiW2 (meta-GGA SCAN)

Data for a PBEsol-optimized structure of LiW2.

Values from the calculation:
The size of the total moment is 0.00 μB per atom. Its energy of formation is 4.5 eV/f.u. As for the total energy: -45.750 eV/atom.

a = 3.965 Å, b = 3.965 Å, c = 3.965 Å
α = 60.00°, β = 60.00°, γ = 60.00°
Positions (direct):
Li 0.000 0.000 0.000
W 0.250 0.250 0.250
W 0.750 0.750 0.750


[20]
## PtW2Se (meta-GGA SCAN)

Data for a PBEsol-optimized structure of PtW2Se.

Values from the calculation:
The size of the total moment is 0.00 μB per atom. Its energy relative to the elements, uncorrected is 391 meV/atom. As for the total energy: -57.021 eV/atom.

a = 4.338 Å, b = 5.323 Å, c = 5.323 Å
α = 30.66°, β = 90.00°, γ = 90.00°
Positions (direct):
Pt 0.000 0.000 0.000
W 0.000 0.257 0.257
W 0.500 0.614 0.614
Se 0.500 0.366 0.366